No. 1
# HgRhIO2

A PBEsol-optimized structure of HgRhIO2 (SCAN, Alexandria via LeMat-Bulk).

```
5
Lattice="3.8653 0.0000 0.0000 0.0000 3.8653 0.0000 0.0000 0.0000 7.0797" Properties=species:S:1:pos:R:3 pbc="T T T"
Hg 0.0000 0.0000 0.0000
Rh 1.9326 1.9326 3.5398
I 1.9326 1.9326 0.0000
O 0.0000 1.9326 3.5398
O 1.9326 0.0000 3.5398
```

Summary:
- Fermi-level density of states (states/eV/cell) = 3.25
- formation energy from raw total energies (eV per atom) = -0.01
- VASP energy (eV per atom) = -30.24



No. 2
# LiTaNi

A PBEsol-optimized structure of LiTaNi (SCAN, Alexandria via LeMat-Bulk).

```
12
Lattice="5.7099 0.0000 0.0000 0.0000 5.7099 0.0000 0.0000 0.0000 5.7099" Properties=species:S:1:pos:R:3 pbc="T T T"
Li 0.0000 0.0000 0.0000
Li 0.0000 2.8550 2.8550
Li 2.8550 0.0000 2.8550
Li 2.8550 2.8550 0.0000
Ta 1.4275 1.4275 1.4275
Ta 1.4275 4.2825 4.2825
Ta 4.2825 1.4275 4.2825
Ta 4.2825 4.2825 1.4275
Ni 0.0000 0.0000 2.8550
Ni 0.0000 2.8550 0.0000
Ni 2.8550 0.0000 0.0000
Ni 2.8550 2.8550 2.8550
```

Summary:
- Fermi-level density of states (states/eV/cell) = 13.10
- formation energy from the elements (kJ/mol of formula units) = 249
- VASP energy (eV per atom) = -27.52
- ΔE to the lowest computed polymorph (eV/f.u.) = 2.02



No. 3
# Co2Mo

A PBEsol-optimized structure of Co2Mo (SCAN, Alexandria via LeMat-Bulk).

```
3
Lattice="3.4170 0.0000 0.0000 0.0000 3.4170 0.0000 0.0000 0.0000 3.4247" Properties=species:S:1:pos:R:3 pbc="T T T"
Co 0.0000 1.7085 0.0000
Co 1.7085 0.0000 0.0000
Mo 0.0000 0.0000 1.7124
```

Summary:
- Fermi-level density of states (states/eV/cell) = 2.29
- formation energy from the elements (kJ/mol of formula units) = 263
- VASP energy (eV per atom) = -22.25



Question: Which formula does entry 2 have?
Answer: LiTaNi



Question: Among the records above, which one has the highest VASP energy?
Answer: Co2Mo